(1)
A geometry-optimized NaLaZn structure. Source: the Alexandria database, functional GGA-PBE.

Summary:
- Final energy: -2.5844 eV/atom

Geometry as extended XYZ:
```
6
Lattice="-2.1747 -1.8317 2.2150 -2.5302 -2.0771 -4.2019 6.9285 -6.0867 -1.1633" Properties=species:S:1:pos:R:3 pbc="T T T"
Zn 0.0817 -1.3755 -1.0573
Zn 2.1419 -8.6199 -2.0929
La 4.2797 -6.4081 -1.0974
La -2.0561 -3.5873 -2.0528
Na 0.7814 -4.4337 0.0331
Na 1.4422 -5.5617 -3.1833
```

(2)
A geometry-optimized ZnAuSeN2 structure. Source: the Alexandria database, functional GGA-PBE.

Summary:
- Uncorrected formation energy: 7.30 eV/f.u.
- E above lowest polymorph: 0 meV/atom

Geometry as extended XYZ:
```
5
Lattice="-2.6209 0.7787 2.7357 -2.3848 -2.6290 -1.5364 2.3752 -4.1798 3.4654" Properties=species:S:1:pos:R:3 pbc="T T T"
N -1.1924 -1.3145 -0.7682
N -1.3105 0.3894 1.3678
Zn 0.0000 0.0000 0.0000
Se 1.1876 -2.0899 1.7327
Au -1.3153 -3.0150 2.3323
```

Number 1: DOS at the Fermi energy 2.13 states/eV/f.u.. Number 2: DOS at the Fermi energy 1.73 states/eV/f.u..